1.
## TlIn2Cu2 (GGA-PBE)

Data for TlIn2Cu2 after structural relaxation.

a b c (Å): 3.4684 3.4684 18.4293
angles (deg): 90.00 90.00 90.00
Last column: nearest neighbours and their distance in Å.
Space group I4/mmm (No. 139)
Symmetry-distinct sites (fractional):
Tl  0.0000  0.0000  0.0000  8 In 3.44, 4 Tl 3.47
In  0.0000  0.0000  0.3689  4 Cu 2.79
Cu  0.0000  0.5000  0.2500  4 Cu 2.45

## Properties
* size of the total moment: 0.000 μB/atom
* formation energy: 0.126 eV per atom
* density: 8.41 g/cm³

=====

2.
## Tl2InCu (GGA-PBE)

Data for Tl2InCu after structural relaxation.

a b c (Å): 3.6098 3.6098 27.1117
angles (deg): 90.00 90.00 120.00
Last column: nearest neighbours and their distance in Å.
Space group R-3m (No. 166, hexagonal axes)
Symmetry-distinct sites (fractional):
Tl  0.0000  0.0000  0.2354  3 Cu 2.80
In  0.0000  0.0000  0.0000  6 Tl 3.37, 6 In 3.61
Cu  0.0000  0.0000  0.5000  6 Tl 2.80

## Properties
* size of the total moment: 0.000 μB/atom
* formation energy: 0.194 eV per atom
* density: 9.56 g/cm³

=====

The highest density belongs to which entry?
Tl2InCu